--- A ---
This record from the Open Quantum Materials Database describes an optimized crystal structure of LiZrGaIr. The functional is PBE.

Unit cell a=6.318 b=6.318 c=6.318 alpha=90.00 beta=90.00 gamma=90.00
Space group F-43m (No. 216)
Symmetry-distinct sites (fractional):
Li1 0.000 0.000 0.000 [4 per cell]
Zr1 0.250 0.250 0.250 [4 per cell]
Ga1 0.250 0.250 0.750 [4 per cell]
Ir1 0.000 0.000 0.500 [4 per cell]

Calculated values
Calculated volume, Å³/atom: 15.76
Magnetic moment, μB per cell: 0.38

---

--- B ---
This record from the Open Quantum Materials Database describes an optimized crystal structure of LiZrGaIr. The functional is PBE.

Unit cell a=6.251 b=6.251 c=6.251 alpha=90.00 beta=90.00 gamma=90.00
Space group F-43m (No. 216)
Symmetry-distinct sites (fractional):
Li1 0.000 0.000 0.000 [4 per cell]
Zr1 0.250 0.250 0.250 [4 per cell]
Ga1 0.000 0.000 0.500 [4 per cell]
Ir1 0.250 0.250 0.750 [4 per cell]

Calculated values
Calculated volume, Å³/atom: 15.27
Magnetic moment, μB per cell: 0.00

---

Bottom line: A, by a margin of 21.2 kJ/mol of atoms.